DFT (meta-GGA SCAN) results for a PBEsol-optimized structure of ZrNi3S.

Cell and atoms, written as POSCAR:
```
ZrNi3S
1.0
4.120 0.000 0.000
0.000 4.120 0.000
0.000 0.000 4.120
Zr Ni S
1 3 1
direct
0.000 0.000 0.000
0.000 0.500 0.500
0.500 0.000 0.500
0.500 0.500 0.000
0.500 0.500 0.500
```

Calculated values
Formation energy from raw total energies in kJ per mole of atoms: -12.1
Magnetization in μB/cell: 0.00
Mass density in Mg/m³: 7.11

---

DFT (meta-GGA SCAN) results for a PBEsol-optimized structure of NiSb3.

Cell and atoms, written as POSCAR:
```
NiSb3
1.0
3.344 0.000 0.000
-1.672 2.896 0.000
0.000 0.000 9.186
Ni Sb
1 3
direct
0.000 0.000 0.000
0.000 0.000 0.500
0.333 0.667 0.189
0.333 0.667 0.811
```

Calculated values
Formation energy from raw total energies in kJ per mole of atoms: 18.7
Magnetization in μB/cell: 0.00
Distance to the lowest polymorph of the same formula in meV per atom: 351
Mass density in Mg/m³: 7.91

---

DFT (meta-GGA SCAN) results for a PBEsol-optimized structure of NiSb3.

Cell and atoms, written as POSCAR:
```
NiSb3
1.0
-2.341 2.341 3.974
2.341 -2.341 3.974
2.341 2.341 -3.974
Ni Sb
1 3
direct
0.000 0.000 0.000
0.250 0.750 0.500
0.500 0.500 0.000
0.750 0.250 0.500
```

Calculated values
Formation energy from raw total energies in kJ per mole of atoms: 52.1
Magnetization in μB/cell: 0.00
Distance to the lowest polymorph of the same formula in meV per atom: 698
Mass density in Mg/m³: 8.08